Entry 1:
## LaTa2V (PBE)

Data for a relaxed structure of LaTa2V.

## Properties
Distance to the lowest polymorph of the same formula, eV/f.u.: 2.64
Total energy, eV per cell: -65.4
Symmetry: I-42d, No. 122
Formation energy, eV per atom: 1.264
Size of the total moment, μB per formula unit: 0.0

Cell and atoms, written as POSCAR:
```
LaTa2V
1.0
-2.507 2.507 8.844
2.507 -2.507 8.844
2.507 2.507 -8.844
La Ta V
2 4 2
Direct
0.000 0.000 0.000
0.750 0.250 0.500
0.372 0.125 0.747
0.375 0.628 0.753
0.378 0.625 0.253
0.875 0.622 0.247
0.250 0.750 0.500
0.500 0.500 0.000
```

***

Entry 2:
## Mg4Cu2Ni (PBE)

Data for a relaxed structure of Mg4Cu2Ni.

## Properties
Total energy, eV per cell: -20.9
Symmetry: R-3m, No. 166
Formation energy, eV per atom: -0.083
Size of the total moment, μB per formula unit: 0.0

Cell and atoms, written as POSCAR:
```
Mg4Cu2Ni
1.0
2.197 1.268 7.119
-2.197 1.268 7.119
0.000 -2.537 7.119
Mg Cu Ni
4 2 1
Direct
0.122 0.122 0.122
0.373 0.373 0.373
0.627 0.627 0.627
0.878 0.878 0.878
0.244 0.244 0.244
0.756 0.756 0.756
0.500 0.500 0.500
```

***

Entry 3:
## Er2Mg3Zr2 (PBE)

Data for a relaxed structure of Er2Mg3Zr2.

## Properties
Total energy, eV per cell: -30.7
Symmetry: Cmmm, No. 65
Formation energy, eV per atom: 0.046
Size of the total moment, μB per formula unit: 0.0

Cell and atoms, written as POSCAR:
```
Er2Mg3Zr2
1.0
1.633 -16.503 0.000
1.633 16.503 0.000
0.000 0.000 3.282
Er Mg Zr
2 3 2
Direct
0.200 0.800 0.000
0.800 0.200 0.000
0.064 0.936 0.000
0.500 0.500 0.500
0.936 0.064 0.000
0.369 0.631 0.500
0.631 0.369 0.500
```